# 1
LiSb at its PBEsol-relaxed geometry. Source: the Alexandria database, functional SCAN.

Cell: 4.0269 4.3106 5.4919 Å, 66.89 90.00 90.00°
With the nearest neighbours (Å) after each atom.
Sites, in units of the cell vectors:
Li: 0.7500 0.6036 0.7927  2 Li 2.91, 7 Sb 2.92-3.03
Sb: 0.7500 0.8927 0.2145  7 Li 2.92-3.03, 2 Sb 2.96
Li: 0.2500 0.3964 0.2073  2 Li 2.91, 7 Sb 2.92-3.03
Sb: 0.2500 0.1073 0.7855  7 Li 2.92-3.03, 2 Sb 2.96

Results
Its space-group type is No. 63. The value obtained for the magnetic moment is 0.00 μB per formula unit. Its energy above the lowest structure with this stoichiometry is 107 meV/atom. Its energy relative to the elements, uncorrected is -66 kJ/mol of formula units. The volume is 87.7 Å³ per cell. The total energy comes out at -80.67 eV for the cell shown.

=====

# 2
LiSb at its PBEsol-relaxed geometry. Source: the Alexandria database, functional SCAN.

Cell: 3.2107 3.2107 10.2754 Å, 90.00 90.00 120.00°
With the nearest neighbours (Å) after each atom.
Sites, in units of the cell vectors:
Li: 0.3333 0.6667 0.1242  3 Sb 2.92, 9 Li 3.15-3.21
Sb: 0.3333 0.6667 0.6567  3 Li 2.92, 6 Sb 3.21
Li: 0.6667 0.3333 0.8758  3 Sb 2.92, 9 Li 3.15-3.21
Sb: 0.6667 0.3333 0.3433  3 Li 2.92, 6 Sb 3.21

Results
Its space-group type is No. 164. The value obtained for the magnetic moment is 0.01 μB per formula unit. Its energy above the lowest structure with this stoichiometry is 401 meV/atom. Its energy relative to the elements, uncorrected is -9 kJ/mol of formula units. The volume is 91.7 Å³ per cell. The total energy comes out at -79.49 eV for the cell shown.

=====

# 3
LiSb at its PBEsol-relaxed geometry. Source: the Alexandria database, functional SCAN.

Cell: 3.2927 3.2927 4.8598 Å, 70.20 70.20 60.00°
With the nearest neighbours (Å) after each atom.
Sites, in units of the cell vectors:
Sb: 0.5000 0.5000 0.5000  6 Li 2.94
Li: 0.0000 0.0000 0.0000  6 Sb 2.94

Results
Its space-group type is No. 166. The value obtained for the magnetic moment is 0.00 μB per formula unit. Its energy above the lowest structure with this stoichiometry is 56 meV/atom. Its energy relative to the elements, uncorrected is -76 kJ/mol of formula units. The volume is 42.0 Å³ per cell. The total energy comes out at -40.44 eV for the cell shown.

=====

# 4
Li2Sb at its PBEsol-relaxed geometry. Source: the Alexandria database, functional SCAN.

Cell: 4.6664 4.6664 5.8843 Å, 90.00 90.00 120.00°
With the nearest neighbours (Å) after each atom.
Sites, in units of the cell vectors:
Li: 0.6667 0.3333 0.7500  5 Sb 2.69-2.94
Sb: 0.3333 0.6667 0.7500  5 Li 2.69-2.94
Li: 0.0000 0.0000 0.0000  8 Li 2.94-3.07, 6 Sb 3.07
Li: 0.0000 0.0000 0.5000  8 Li 2.94-3.07, 6 Sb 3.07
Sb: 0.6667 0.3333 0.2500  5 Li 2.69-2.94
Li: 0.3333 0.6667 0.2500  5 Sb 2.69-2.94

Results
Its space-group type is No. 194. The value obtained for the magnetic moment is 0.00 μB per formula unit. Its energy above the lowest structure with this stoichiometry is 104 meV/atom. Its energy relative to the elements, uncorrected is -150 kJ/mol of formula units. The volume is 111.0 Å³ per cell. The total energy comes out at -87.20 eV for the cell shown.

=====

# 5
Li2Sb at its PBEsol-relaxed geometry. Source: the Alexandria database, functional SCAN.

Cell: 3.1707 4.6434 7.8367 Å, 90.00 101.67 90.00°
With the nearest neighbours (Å) after each atom.
Sites, in units of the cell vectors:
Li: 0.7750 0.7500 0.5499  4 Sb 2.83-2.86, 6 Li 2.91-3.07
Sb: 0.1197 0.7500 0.2395  10 Li 2.83-3.10
Li: 0.5539 0.2500 0.1079  6 Li 2.85-3.17, 6 Sb 2.99-3.10
Sb: 0.8803 0.2500 0.7605  10 Li 2.83-3.10
Li: 0.2250 0.2500 0.4501  4 Sb 2.83-2.86, 6 Li 2.91-3.07
Li: 0.4461 0.7500 0.8921  6 Li 2.85-3.17, 6 Sb 2.99-3.10

Results
Its space-group type is No. 63. The value obtained for the magnetic moment is 0.00 μB per formula unit. Its energy above the lowest structure with this stoichiometry is 36 meV/atom. Its energy relative to the elements, uncorrected is -170 kJ/mol of formula units. The volume is 113.0 Å³ per cell. The total energy comes out at -87.60 eV for the cell shown.

=====

# 6
LiSb at its PBEsol-relaxed geometry. Source: the Alexandria database, functional SCAN.

Cell: 4.1500 4.1500 5.6883 Å, 111.39 111.39 90.00°
With the nearest neighbours (Å) after each atom.
Sites, in units of the cell vectors:
Sb: 0.7500 0.2500 0.5000  8 Li 2.93-3.20, 4 Sb 3.20
Li: 0.2500 0.7500 0.5000  8 Sb 2.93-3.20, 4 Li 3.20
Li: 0.0000 0.0000 0.0000  8 Sb 2.93-3.20, 4 Li 3.20
Sb: 0.5000 0.5000 0.0000  8 Li 2.93-3.20, 4 Sb 3.20

Results
Its space-group type is No. 141. The value obtained for the magnetic moment is 0.00 μB per formula unit. Its energy above the lowest structure with this stoichiometry is 95 meV/atom. Its energy relative to the elements, uncorrected is -68 kJ/mol of formula units. The volume is 83.9 Å³ per cell. The total energy comes out at -80.72 eV for the cell shown.

=====

# 7
LiSb at its PBEsol-relaxed geometry. Source: the Alexandria database, functional SCAN.

Cell: 3.3027 3.3027 4.4901 Å, 90.00 90.00 120.00°
With the nearest neighbours (Å) after each atom.
Sites, in units of the cell vectors:
Li: 0.0000 0.0000 0.0000  6 Sb 2.95
Sb: 0.3333 0.6667 0.5000  6 Li 2.95

Results
Its space-group type is No. 187. The value obtained for the magnetic moment is 0.00 μB per formula unit. Its energy above the lowest structure with this stoichiometry is 77 meV/atom. Its energy relative to the elements, uncorrected is -72 kJ/mol of formula units. The volume is 42.4 Å³ per cell. The total energy comes out at -40.39 eV for the cell shown.

=====

# 8
LiSb at its PBEsol-relaxed geometry. Source: the Alexandria database, functional SCAN.

Cell: 3.2519 4.7997 5.4582 Å, 90.00 90.00 90.00°
With the nearest neighbours (Å) after each atom.
Sites, in units of the cell vectors:
Sb: 0.0000 0.8371 0.2500  4 Li 2.89-2.91, 2 Sb 3.15
Li: 0.5000 0.3344 0.2500  4 Sb 2.89-2.91, 2 Li 3.16
Sb: 0.0000 0.1629 0.7500  4 Li 2.89-2.91, 2 Sb 3.15
Li: 0.5000 0.6656 0.7500  4 Sb 2.89-2.91, 2 Li 3.16

Results
Its space-group type is No. 51. The value obtained for the magnetic moment is 0.00 μB per formula unit. Its energy above the lowest structure with this stoichiometry is 60 meV/atom. Its energy relative to the elements, uncorrected is -75 kJ/mol of formula units. The volume is 85.2 Å³ per cell. The total energy comes out at -80.86 eV for the cell shown.